## Y4CuPb (PBE-GGA)

Data for a relaxed structure of Y4CuPb.

It has space group F-43m (No. 216), with a = 8.9055 Å, b = 8.9055 Å, c = 8.9055 Å, α = 90.00°, β = 90.00° and γ = 90.00°. The distinct sites, in fractional coordinates, are Y at (0.1254, 0.1254, 0.1254), Cu at (0.2500, 0.2500, 0.7500) and Pb at (0.0000, 0.0000, 0.5000).

As for the magnetic moment: 0.0 μB/f.u. The value obtained for the volume is 29.43 Å³ per atom. Its density of states at the Fermi level is 1.150 states/eV/atom. The calculation puts the formation energy at 0.43 eV/atom. The total energy is -124.3 eV/cell.

=====

## TmPaSe2N (PBE-GGA)

Data for a relaxed structure of TmPaSe2N.

It has space group P4/nmm (No. 129, origin choice 2), with a = 3.9142 Å, b = 3.9142 Å, c = 13.8315 Å, α = 90.00°, β = 90.00° and γ = 90.00°. The distinct sites, in fractional coordinates, are Tm at (0.2500, 0.2500, 0.0979), Pa at (0.2500, 0.2500, 0.5867), Se at (0.2500, 0.2500, 0.3059), Se at (0.2500, 0.2500, 0.8888) and N at (0.2500, 0.7500, 0.5000).

The formation energy (no corrections) is -1.788 eV per atom. As for the magnetic moment: 0.3 μB/f.u. The value obtained for the volume is 21.19 Å³ per atom. Its density of states at the Fermi level is 0.660 states/eV/atom. The total energy is -76.4 eV/cell.

=====

## AlZn3Ir (PBE-GGA)

Data for a relaxed structure of AlZn3Ir.

It has space group Pm-3m (No. 221), with a = 4.5659 Å, b = 4.5659 Å, c = 4.5659 Å, α = 90.00°, β = 90.00° and γ = 90.00°. The distinct sites, in fractional coordinates, are Al at (0.0000, 0.0000, 0.0000), Zn at (0.0000, 0.0000, 0.5000) and Ir at (0.5000, 0.5000, 0.5000).

As for the magnetic moment: 0.6 μB/f.u. The value obtained for the volume is 19.04 Å³ per atom. Its density of states at the Fermi level is 0.896 states/eV/atom. The calculation puts the formation energy at 1.11 eV/atom. The total energy is -10.9 eV/cell.

=====

## Hf2TiAu (PBE-GGA)

Data for a relaxed structure of Hf2TiAu.

It has space group P4/mmm (No. 123), with a = 3.1683 Å, b = 3.1683 Å, c = 7.8315 Å, α = 90.00°, β = 90.00° and γ = 90.00°. The distinct sites, in fractional coordinates, are Hf at (0.0000, 0.0000, 0.2485), Ti at (0.5000, 0.5000, 0.0000) and Au at (0.5000, 0.5000, 0.5000).

As for the magnetic moment: 0.0 μB/f.u. The value obtained for the volume is 19.65 Å³ per atom. Its density of states at the Fermi level is 0.853 states/eV/atom. The calculation puts the formation energy at -0.27 eV/atom. The total energy is -32.2 eV/cell.

=====

What did the fourth record say?
## Hf2TiAu (PBE-GGA)

Data for a relaxed structure of Hf2TiAu.

It has space group P4/mmm (No. 123), with a = 3.1683 Å, b = 3.1683 Å, c = 7.8315 Å, α = 90.00°, β = 90.00° and γ = 90.00°. The distinct sites, in fractional coordinates, are Hf at (0.0000, 0.0000, 0.2485), Ti at (0.5000, 0.5000, 0.0000) and Au at (0.5000, 0.5000, 0.5000).

As for the magnetic moment: 0.0 μB/f.u. The value obtained for the volume is 19.65 Å³ per atom. Its density of states at the Fermi level is 0.853 states/eV/atom. The calculation puts the formation energy at -0.27 eV/atom. The total energy is -32.2 eV/cell.

=====

Please write out number 1 again, unchanged.
## Y4CuPb (PBE-GGA)

Data for a relaxed structure of Y4CuPb.

It has space group F-43m (No. 216), with a = 8.9055 Å, b = 8.9055 Å, c = 8.9055 Å, α = 90.00°, β = 90.00° and γ = 90.00°. The distinct sites, in fractional coordinates, are Y at (0.1254, 0.1254, 0.1254), Cu at (0.2500, 0.2500, 0.7500) and Pb at (0.0000, 0.0000, 0.5000).

As for the magnetic moment: 0.0 μB/f.u. The value obtained for the volume is 29.43 Å³ per atom. Its density of states at the Fermi level is 1.150 states/eV/atom. The calculation puts the formation energy at 0.43 eV/atom. The total energy is -124.3 eV/cell.

=====

Question: What is the density of states at the Fermi level in the first record?
Answer: 1.150 states/eV/atom

=====

Question: What is the formula in the first record?
Answer: Y4CuPb